Record 1
Ag3Cl | PBE | optimized geometry

a = 9.822 Å, b = 9.822 Å, c = 9.822 Å
α = 155.95°, β = 155.95°, γ = 34.27°
Sites, in units of the cell vectors:
1 Cl 0.368 0.368 0.000
2 Ag 0.750 0.250 0.500
3 Ag 0.250 0.750 0.500
4 Ag 0.000 0.500 0.500
5 Cl 0.632 0.632 0.000
6 Ag 0.500 0.000 0.500
7 Ag 0.887 0.887 0.000
8 Ag 0.113 0.113 0.000

Computed properties:
* final energy: -2.515 eV per atom
* magnetization: 0.000 μB per formula unit
* ΔE_f (raw): 0.085 eV/atom



Record 2
ZnCoN3 | PBE | optimized geometry

a = 3.748 Å, b = 3.748 Å, c = 3.748 Å
α = 90.00°, β = 90.00°, γ = 90.00°
Sites, in units of the cell vectors:
1 N 0.000 0.500 0.000
2 Co 0.500 0.500 0.500
3 Zn 0.000 0.000 0.000
4 N 0.000 0.000 0.500
5 N 0.500 0.000 0.000

Computed properties:
* final energy: -4.310 eV per atom
* magnetization: 0.000 μB per formula unit
* ΔE_f (raw): 2.362 eV/atom



Record 3
Ag2TeAu | PBE | optimized geometry

a = 3.994 Å, b = 3.115 Å, c = 7.778 Å
α = 64.84°, β = 90.00°, γ = 90.00°
Sites, in units of the cell vectors:
1 Ag 0.000 0.096 0.047
2 Ag 0.500 0.381 0.255
3 Te 0.500 0.348 0.747
4 Au 0.000 0.675 0.452

Computed properties:
* final energy: -2.970 eV per atom
* magnetization: 0.000 μB per formula unit
* ΔE_f (raw): 0.060 eV/atom



Record 4
Sr2ScRu3O12 | PBE | optimized geometry

a = 7.321 Å, b = 7.321 Å, c = 7.321 Å
α = 59.79°, β = 59.79°, γ = 59.79°
Sites, in units of the cell vectors:
1 O 0.696 0.070 0.696
2 Ru 0.000 0.000 0.500
3 O 0.930 0.304 0.304
4 O 0.649 0.087 0.087
5 O 0.087 0.649 0.087
6 Ru 0.000 0.500 0.000
7 O 0.913 0.351 0.913
8 Ru 0.500 0.000 0.000
9 O 0.304 0.930 0.304
10 O 0.087 0.087 0.649
11 O 0.304 0.304 0.930
12 Sr 0.689 0.689 0.689
13 O 0.351 0.913 0.913
14 O 0.696 0.696 0.070
15 Sc 0.000 0.000 0.000
16 O 0.913 0.913 0.351
17 O 0.070 0.696 0.696
18 Sr 0.311 0.311 0.311

Computed properties:
* final energy: -6.947 eV per atom
* magnetization: 0.000 μB per formula unit
* ΔE_f (raw): -1.557 eV/atom